Entry 1:
First-principles (PBE with a Hubbard U) data for a relaxed PrCrP2O8 crystal, as listed in Alexandria.

a b c (Å): 5.1280 5.1280 6.7931
angles (deg): 90.00 90.00 120.00
Space group P-3m1 (No. 164)
One atom of each set of equivalent atoms:
Pr (0.0000, 0.0000, 0.0000) x1
Cr (0.0000, 0.0000, 0.5000) x1
P (0.3333, 0.6667, 0.2361) x2
O (0.1678, 0.3355, 0.3059) x6
O (0.3333, 0.6667, 0.0098) x2

Calculated values
E_tot	-92.92	eV/cell
mass density	4.1	g/cm³
DOS(E_F)	0.0	states/eV/f.u.

***

Entry 2:
First-principles (PBE with a Hubbard U) data for a relaxed CrP2PtO crystal, as listed in Alexandria.

a b c (Å): 4.807 4.807 3.763
angles (deg): 90.00 90.00 90.00
Space group P4/mmm (No. 123)
One atom of each set of equivalent atoms:
Cr (0.000, 0.000, 0.000) x1
P (0.000, 0.500, 0.500) x2
Pt (0.500, 0.500, 0.500) x1
O (0.500, 0.500, 0.000) x1

Calculated values
E_tot	-24.51	eV/cell
mass density	6.2	g/cm³
DOS(E_F)	4.2	states/eV/f.u.

***

Entry 3:
First-principles (PBE with a Hubbard U) data for a relaxed CrP2PtO crystal, as listed in Alexandria.

a b c (Å): 4.729 4.729 3.438
angles (deg): 90.00 90.00 90.00
Space group P4/mmm (No. 123)
One atom of each set of equivalent atoms:
Cr (0.000, 0.000, 0.000) x1
P (0.000, 0.500, 0.000) x2
Pt (0.500, 0.500, 0.500) x1
O (0.000, 0.000, 0.500) x1

Calculated values
E_tot	-28.32	eV/cell
mass density	7.0	g/cm³
DOS(E_F)	2.4	states/eV/f.u.

***

Entry 4:
First-principles (PBE with a Hubbard U) data for a relaxed PuCrP2O8 crystal, as listed in Alexandria.

a b c (Å): 5.0248 5.0248 6.7990
angles (deg): 90.00 90.00 120.00
Space group P-3 (No. 147)
One atom of each set of equivalent atoms:
Pu (0.0000, 0.0000, 0.0000) x1
Cr (0.0000, 0.0000, 0.5000) x1
P (0.3333, 0.6667, 0.7624) x2
O (0.1032, 0.3358, 0.6935) x6
O (0.3333, 0.6667, 0.9886) x2

Calculated values
E_tot	-100.83	eV/cell
mass density	5.4	g/cm³
DOS(E_F)	6.7	states/eV/f.u.